Material: KTl2Mo
Method: DFT, GGA-PBE
State: relaxed

```
KTl2Mo
1.0
5.4664 0.0000 0.0000
2.7332 4.7341 0.0000
2.7332 1.5780 4.4633
K Mo Tl
1 1 2
Direct
0.5000 0.5000 0.5000
0.7500 0.7500 0.7500
0.0000 0.0000 0.0000
0.2500 0.2500 0.2500
```

Calculated values
D(E_F) = 0.59 states/eV per atom
size of the total moment = 1.063 μB per atom
E_form = 0.9437 eV per atom